Below is crystalline Mg5Tl3F12 at its relaxed geometry, with properties calculated at the GGA-PBE level.

Structure (extended XYZ):
```
80
Lattice="-6.876 6.876 6.876 6.876 -6.876 6.876 6.876 6.876 -6.876" Properties=species:S:1:pos:R:3 pbc="T T T"
Mg 0.000 0.000 0.000
Mg 3.438 3.438 -3.438
Mg 3.438 -3.438 3.438
Mg 6.876 0.000 0.000
Mg 10.314 1.719 0.000
Mg 6.876 -3.438 5.157
Mg 5.157 6.876 -3.438
Mg 5.157 0.000 3.438
Mg 3.438 5.157 0.000
Mg 6.876 3.438 1.719
Mg -3.438 3.438 3.438
Mg 0.000 6.876 0.000
Mg 0.000 0.000 6.876
Mg 3.438 3.438 3.438
Mg 0.000 3.438 5.157
Mg 3.438 1.719 6.876
Mg 1.719 6.876 3.438
Mg 1.719 0.000 10.314
Mg 0.000 10.314 1.719
Mg -3.438 5.157 6.876
Tl 3.438 1.719 0.000
Tl 6.876 3.438 -1.719
Tl 1.719 0.000 3.438
Tl 8.595 0.000 3.438
Tl 0.000 3.438 1.719
Tl 3.438 -1.719 6.876
Tl 3.438 8.595 0.000
Tl 6.876 3.438 5.157
Tl -1.719 6.876 3.438
Tl 5.157 6.876 3.438
Tl 0.000 3.438 8.595
Tl 3.438 5.157 6.876
F 5.375 -3.863 4.048
F 11.814 0.610 -0.425
F 8.813 0.610 0.425
F 8.376 -3.013 4.048
F 9.888 2.828 -1.501
F 7.301 -4.938 6.266
F 4.048 5.375 -3.863
F 6.266 -0.425 1.937
F 6.266 7.301 -4.938
F 4.048 -1.501 3.863
F 3.863 4.048 -1.501
F 6.451 1.937 0.610
F 10.739 2.828 1.501
F 6.451 -1.937 6.266
F 6.266 6.451 -1.937
F 4.048 1.501 3.013
F 4.048 8.376 -3.013
F 6.266 0.425 4.938
F 3.013 4.048 1.501
F 7.301 4.938 0.610
F 1.937 6.266 -0.425
F 8.376 3.013 2.828
F 4.938 6.266 0.425
F 5.375 3.863 2.828
F 1.501 3.013 4.048
F 1.937 0.610 6.451
F -1.501 3.863 4.048
F 4.938 0.610 7.301
F -0.425 1.937 6.266
F 3.863 2.828 5.375
F 0.610 6.451 1.937
F 2.828 -1.501 9.888
F 2.828 5.375 3.863
F 0.610 0.425 8.813
F 0.425 8.813 0.610
F -3.863 4.048 5.375
F 0.425 4.938 6.266
F 3.013 2.828 8.376
F 2.828 8.376 3.013
F 0.610 -0.425 11.814
F 0.610 7.301 4.938
F 2.828 1.501 10.739
F -0.425 11.814 0.610
F -3.013 4.048 8.376
F -1.501 9.888 2.828
F -1.937 6.266 6.451
F -4.938 6.266 7.301
F 1.501 10.739 2.828
```

Formation energy without anion corrections ... -56.724 eV per formula unit
Space-group type ... Ia-3d, No. 230
DFT total energy ... -4.713 eV/atom

***

Below is crystalline MgTl2F8 at its relaxed geometry, with properties calculated at the GGA-PBE level.

Structure (extended XYZ):
```
11
Lattice="3.769 0.000 0.000 1.878 5.983 0.000 0.006 1.403 7.190" Properties=species:S:1:pos:R:3 pbc="T T T"
Mg 0.000 0.000 0.000
Tl 1.886 4.139 5.222
Tl 3.767 3.247 1.968
F 1.882 6.243 5.584
F 1.882 3.438 0.801
F 1.884 2.783 3.386
F 1.886 2.178 6.251
F 3.767 5.208 0.939
F 3.768 4.603 3.804
F 3.771 3.949 6.389
F 3.771 1.144 1.606
```

Formation energy without anion corrections ... -24.142 eV per formula unit
Space-group type ... P-1, No. 2
Energy relative to the lowest polymorph listed for this composition ... 69.4 meV/atom
DFT total energy ... -4.131 eV/atom

***

Below is crystalline MgTlF2 at its relaxed geometry, with properties calculated at the GGA-PBE level.

Structure (extended XYZ):
```
12
Lattice="3.890 0.000 0.000 -1.945 3.368 0.000 0.000 0.000 21.428" Properties=species:S:1:pos:R:3 pbc="T T T"
Mg 0.000 0.000 0.000
Mg 0.000 2.246 14.285
Mg 1.945 1.123 7.143
Tl 0.000 0.000 10.714
Tl 0.000 2.246 3.571
Tl 1.945 1.123 17.857
F 0.000 0.000 1.883
F 0.000 0.000 19.545
F 0.000 2.246 12.402
F 0.000 2.246 16.169
F 1.945 1.123 5.259
F 1.945 1.123 9.026
```

Formation energy without anion corrections ... -7.593 eV per formula unit
Space-group type ... R-3m, No. 166
Energy relative to the lowest polymorph listed for this composition ... 582.6 meV/atom
DFT total energy ... -3.824 eV/atom

***

Below is crystalline MgTlF2 at its relaxed geometry, with properties calculated at the GGA-PBE level.

Structure (extended XYZ):
```
16
Lattice="6.502 0.000 0.000 0.000 6.502 0.000 0.000 0.000 6.502" Properties=species:S:1:pos:R:3 pbc="T T T"
Mg 0.000 0.000 0.000
Mg 0.000 3.251 3.251
Mg 3.251 0.000 3.251
Mg 3.251 3.251 0.000
Tl 0.000 0.000 3.251
Tl 0.000 3.251 0.000
Tl 3.251 0.000 0.000
Tl 3.251 3.251 3.251
F 1.626 1.626 1.626
F 1.626 1.626 4.877
F 1.626 4.877 1.626
F 1.626 4.877 4.877
F 4.877 1.626 1.626
F 4.877 1.626 4.877
F 4.877 4.877 1.626
F 4.877 4.877 4.877
```

Formation energy without anion corrections ... -5.974 eV per formula unit
Space-group type ... Fm-3m, No. 225
Energy relative to the lowest polymorph listed for this composition ... 987.4 meV/atom
DFT total energy ... -3.419 eV/atom

***

Below is crystalline MgTl2F8 at its relaxed geometry, with properties calculated at the GGA-PBE level.

Structure (extended XYZ):
```
11
Lattice="4.581 -3.500 0.000 4.581 3.500 0.000 -1.440 0.000 4.774" Properties=species:S:1:pos:R:3 pbc="T T T"
Mg 0.000 0.000 0.000
Tl 2.103 0.000 2.813
Tl 5.619 0.000 1.961
F 2.231 2.168 3.506
F 0.181 0.000 3.690
F 5.490 2.168 1.268
F 3.580 0.000 1.098
F 4.142 0.000 3.676
F 2.231 -2.168 3.506
F 7.541 0.000 1.084
F 5.490 -2.168 1.268
```

Formation energy without anion corrections ... -24.905 eV per formula unit
Space-group type ... C2/m, No. 12
Energy relative to the lowest polymorph listed for this composition ... 0.0 meV/atom
DFT total energy ... -4.200 eV/atom

***

Below is crystalline TmMgTlF6 at its relaxed geometry, with properties calculated at the GGA-PBE level.

Structure (extended XYZ):
```
18
Lattice="-3.786 4.030 5.475 3.786 -4.030 5.475 3.786 4.030 -5.475" Properties=species:S:1:pos:R:3 pbc="T T T"
Tm 0.000 0.000 0.000
Tm 0.000 4.030 0.000
Mg -1.893 2.015 2.737
Mg 1.893 2.015 2.737
Tl 3.786 2.015 -0.303
Tl 0.000 2.015 5.778
F 3.786 -2.015 4.661
F 1.589 0.622 1.296
F 5.983 0.622 1.296
F 3.786 2.015 2.223
F 1.589 4.652 -1.296
F 2.197 0.622 4.179
F 1.589 3.409 1.296
F 2.197 -0.622 6.770
F 0.000 2.015 3.252
F -2.197 3.409 4.179
F 2.197 3.409 4.179
F 0.000 6.046 0.814
```

Formation energy without anion corrections ... -30.850 eV per formula unit
Space-group type ... Imma, No. 74
DFT total energy ... -5.612 eV/atom

***

Below is crystalline Mg3UTl2F12 at its relaxed geometry, with properties calculated at the GGA-PBE level.

Structure (extended XYZ):
```
18
Lattice="3.774 2.179 5.477 -3.774 2.179 5.477 0.000 -4.358 5.477" Properties=species:S:1:pos:R:3 pbc="T T T"
Mg -1.887 -1.089 5.477
Mg -1.887 1.089 10.954
Mg 0.000 2.179 5.477
U 0.000 0.000 8.216
Tl 0.000 0.000 1.781
Tl 0.000 0.000 14.651
F -1.906 -1.101 7.507
F 0.000 -1.564 5.812
F -1.355 0.782 5.812
F 0.000 -2.201 8.925
F -1.906 1.101 8.925
F -1.355 -0.782 10.619
F 1.355 0.782 5.812
F 1.906 -1.101 7.507
F 0.000 2.201 7.507
F 1.355 -0.782 10.619
F 0.000 1.564 10.619
F 1.906 1.101 8.925
```

Formation energy without anion corrections ... -56.477 eV per formula unit
Space-group type ... R-3m, No. 166
DFT total energy ... -5.541 eV/atom